VASP calculation (GGA-PBEsol) on BeAl2FeSe after structural relaxation.

Cell and atoms, written as POSCAR:
```
BeAl2FeSe
1.0
4.963 0.000 0.000
0.000 4.963 0.000
0.000 0.000 3.877
Be Al Fe Se
1 2 1 1
Cartesian
0.000 0.000 0.000
0.000 2.482 1.938
2.482 0.000 1.938
2.482 2.482 0.000
0.000 0.000 1.938
```

Results
Space-group type: P4/mmm
E_tot, eV/atom: -3.9199

---

VASP calculation (GGA-PBEsol) on BeAl3Ga after structural relaxation.

Cell and atoms, written as POSCAR:
```
BeAl3Ga
1.0
4.373 0.000 0.000
0.000 4.373 0.000
0.000 0.000 4.373
Be Al Ga
1 3 1
Cartesian
0.000 0.000 0.000
0.000 0.000 2.186
0.000 2.186 0.000
2.186 0.000 0.000
2.186 2.186 2.186
```

Results
Space-group type: Pm-3m
DFT formation energy, eV per atom: 0.39
E_tot, eV/atom: -3.5310

---

VASP calculation (GGA-PBEsol) on BeAlGaP2 after structural relaxation.

Cell and atoms, written as POSCAR:
```
BeAlGaP2
1.0
4.582 0.000 0.000
0.000 4.582 0.000
0.000 0.000 4.807
Be Al Ga P
1 1 1 2
Cartesian
0.000 0.000 0.000
2.291 2.291 2.403
2.291 2.291 0.000
0.000 2.291 2.403
2.291 0.000 2.403
```

Results
Space-group type: P4/mmm
DFT formation energy, eV per atom: 1.00
E_tot, eV/atom: -3.6057

---

VASP calculation (GGA-PBEsol) on BeAl2GaRh after structural relaxation.

Cell and atoms, written as POSCAR:
```
BeAl2GaRh
1.0
4.576 0.000 0.000
0.000 4.576 0.000
0.000 0.000 4.548
Be Al Ga Rh
1 2 1 1
Cartesian
0.000 0.000 0.000
0.000 2.288 2.274
2.288 0.000 2.274
2.288 2.288 2.274
2.288 2.288 0.000
```

Results
Space-group type: P4/mmm
DFT formation energy, eV per atom: 0.99
E_tot, eV/atom: -3.7464

---

VASP calculation (GGA-PBEsol) on BeAlGa2Rh after structural relaxation.

Cell and atoms, written as POSCAR:
```
BeAlGa2Rh
1.0
4.157 0.000 0.000
0.000 4.157 0.000
0.000 0.000 4.303
Be Al Ga Rh
1 1 2 1
Cartesian
0.000 0.000 0.000
0.000 0.000 2.152
0.000 2.078 0.000
2.078 0.000 0.000
2.078 2.078 2.152
```

Results
Space-group type: P4/mmm
DFT formation energy, eV per atom: 0.45
E_tot, eV/atom: -4.1357

---

VASP calculation (GGA-PBEsol) on Be3AlH after structural relaxation.

Cell and atoms, written as POSCAR:
```
Be3AlH
1.0
4.374 0.000 0.000
0.000 4.374 0.000
0.000 0.000 4.374
Be Al H
3 1 1
Cartesian
0.000 0.000 2.187
0.000 2.187 0.000
2.187 0.000 0.000
0.000 0.000 0.000
2.187 2.187 2.187
```

Results
Space-group type: Pm-3m
E_tot, eV/atom: -2.3544

---

VASP calculation (GGA-PBEsol) on BeAlH5 after structural relaxation.

Cell and atoms, written as POSCAR:
```
BeAlH5
1.0
4.548 0.000 0.000
0.000 4.203 0.000
-0.545 0.000 6.044
Be Al H
2 2 10
Cartesian
4.484 0.000 0.702
-0.481 2.102 5.341
0.835 3.033 3.032
3.168 0.931 3.012
0.049 0.227 3.606
0.586 1.220 0.293
0.738 2.350 4.616
1.055 3.666 1.435
1.698 1.647 2.497
2.305 3.749 3.547
2.948 1.564 4.609
3.265 0.248 1.428
3.417 3.322 5.751
3.954 2.329 2.438
```

Results
Space-group type: P2_1
E_tot, eV/atom: -3.5110

---

VASP calculation (GGA-PBEsol) on Be2AlH after structural relaxation.

Cell and atoms, written as POSCAR:
```
Be2AlH
1.0
0.000 2.730 2.730
2.730 0.000 2.730
2.730 2.730 0.000
Be Al H
2 1 1
Cartesian
1.365 1.365 1.365
4.096 4.096 4.096
0.000 0.000 0.000
2.730 2.730 2.730
```

Results
Space-group type: Fm-3m
E_tot, eV/atom: -3.0240

---

VASP calculation (GGA-PBEsol) on Be2AlH after structural relaxation.

Cell and atoms, written as POSCAR:
```
Be2AlH
1.0
-2.076 2.076 4.639
2.076 -2.076 4.639
2.076 2.076 -4.639
Be Al H
4 2 2
Cartesian
0.000 0.000 0.000
1.038 1.038 -2.319
1.038 -1.038 2.319
0.000 2.076 0.000
2.076 1.038 1.160
0.000 1.038 3.479
2.076 -1.038 3.479
0.000 3.114 1.160
```

Results
Space-group type: I4_1/amd
E_tot, eV/atom: -3.4721

---

VASP calculation (GGA-PBEsol) on BeAlH5 after structural relaxation.

Cell and atoms, written as POSCAR:
```
BeAlH5
1.0
2.883 -3.526 0.000
2.883 3.526 0.000
-2.661 0.000 5.543
Be Al H
2 2 10
Cartesian
0.887 2.289 4.158
2.217 -2.289 1.386
2.883 0.000 0.000
1.552 0.000 2.772
-0.083 0.379 2.374
-0.127 1.517 4.805
-1.413 -0.379 5.146
2.217 0.726 1.386
1.901 1.517 3.510
1.204 -1.517 2.034
0.887 -0.726 4.158
4.517 0.379 0.397
3.231 -1.517 0.738
3.187 -0.379 3.169
```

Results
Space-group type: C2/c
E_tot, eV/atom: -3.5075

---

VASP calculation (GGA-PBEsol) on Be2AlSiH after structural relaxation.

Cell and atoms, written as POSCAR:
```
Be2AlSiH
1.0
4.322 0.000 0.000
0.000 4.322 0.000
0.000 0.000 4.822
Be Al Si H
2 1 1 1
Cartesian
0.000 2.161 0.000
2.161 0.000 0.000
0.000 0.000 0.000
0.000 0.000 2.411
2.161 2.161 2.411
```

Results
Space-group type: P4/mmm
E_tot, eV/atom: -2.7351

---

VASP calculation (GGA-PBEsol) on Hf2Be2Al after structural relaxation.

Cell and atoms, written as POSCAR:
```
Hf2Be2Al
1.0
6.237 0.000 0.000
0.000 6.237 0.000
0.000 0.000 3.832
Hf Be Al
4 4 2
Cartesian
1.059 2.060 0.000
2.060 5.178 0.000
4.178 1.059 0.000
5.178 4.178 0.000
0.764 3.883 1.916
2.354 0.764 1.916
3.883 5.473 1.916
5.473 2.354 1.916
0.000 0.000 1.916
3.119 3.119 1.916
```

Results
Space-group type: P4/mbm
DFT formation energy, eV per atom: -0.31
E_tot, eV/atom: -6.9345

---

Which of these has the lowest E_tot? Hf2Be2Al